Entry 1:
Material: Hf2CdHg3
Method: DFT, GGA-PBE
State: relaxed

Results
energy = -0.132 hartree per atom
calculated volume = 21.1 Å³/atom
formation energy = 38 meV/atom

```
Hf2CdHg3
1.0
-0.572 -0.662 -3.197
-2.038 -2.463 0.875
-8.851 7.344 0.063
Hg Cd Hf
3 1 2
Direct
0.500 0.500 0.665
0.500 0.500 0.337
0.000 0.000 0.164
0.000 0.000 0.832
0.000 0.000 0.500
0.500 0.500 0.002
```


Entry 2:
Material: LuCl2
Method: DFT, GGA-PBE
State: relaxed

Results
energy = -0.166 hartree per atom
calculated volume = 25.5 Å³/atom

```
LuCl2
1.0
6.731 0.000 0.000
0.000 6.731 0.000
0.000 0.000 3.373
Lu Cl
2 4
Direct
0.500 0.500 0.500
0.000 0.000 0.000
0.280 0.280 0.000
0.720 0.720 0.000
0.780 0.220 0.500
0.220 0.780 0.500
```


Entry 3:
Material: HoRe4C2
Method: DFT, GGA-PBE
State: relaxed

Results
energy = -0.364 hartree per atom
calculated volume = 16.6 Å³/atom

```
HoRe4C2
1.0
1.237 -0.682 5.136
1.743 4.653 -1.919
-5.308 -0.071 -0.435
Re Ho C
4 1 2
Direct
0.500 0.775 0.275
0.225 0.500 0.725
0.775 0.500 0.275
0.500 0.225 0.725
0.000 0.000 0.000
0.250 0.750 0.500
0.750 0.250 0.500
```